# 1
{
  "formula": "ReSnSe",
  "functional": "GGA-PBE",
  "state": "optimized geometry",
  "e_form_raw_ev_per_atom": 0.225,
  "m_tot_mub_per_atom": 0.00,
  "e_tot_ev_per_atom": -6.42,
  "rho_g_cm3": 10.20,
  "lattice_angstrom": [[3.165, 0.000, 0.000], [-1.582, 2.741, 0.000], [0.000, 0.000, 14.411]],
  "species": ["Re", "Re", "Se", "Se", "Sn", "Sn"],
  "fractional_positions": [[0.609, 0.218, 0.000], [0.280, 0.559, 0.500], [0.613, 0.226, 0.376], [0.613, 0.226, 0.624], [0.276, 0.552, 0.150], [0.276, 0.552, 0.850]]
}

***

# 2
{
  "formula": "Cs2NaBCl6",
  "functional": "GGA-PBE",
  "state": "optimized geometry",
  "e_form_raw_ev_per_atom": -1.227,
  "m_tot_mub_per_atom": 0.00,
  "e_tot_ev_per_atom": -3.30,
  "rho_g_cm3": 2.85,
  "lattice_angstrom": [[-3.746, 1.975, 5.692], [-0.612, -6.792, 1.954], [2.830, -1.956, 6.962]],
  "species": ["Cs", "Cs", "Na", "B", "Cl", "Cl", "Cl", "Cl", "Cl", "Cl"],
  "fractional_positions": [[0.750, 0.250, 0.500], [0.250, 0.750, 0.500], [0.000, 0.000, 0.000], [0.500, 0.500, 0.000], [0.220, 0.220, 0.559], [0.780, 0.780, 0.441], [0.302, 0.302, 0.000], [0.698, 0.698, 0.000], [0.698, 0.302, 0.000], [0.302, 0.698, 0.000]]
}

***

# 3
{
  "formula": "Tb4Pm2NdTm2",
  "functional": "GGA-PBE",
  "state": "optimized geometry",
  "ef_ev_per_atom": 0.020,
  "m_tot_mub_per_atom": 0.00,
  "e_tot_ev_per_atom": -4.62,
  "rho_g_cm3": 8.03,
  "lattice_angstrom": [[-2.052, -3.402, 3.136], [6.690, 2.829, 3.361], [-5.896, 5.122, 1.698]],
  "species": ["Tb", "Tb", "Tb", "Tb", "Pm", "Pm", "Nd", "Tm", "Tm"],
  "fractional_positions": [[0.778, 0.557, 0.669], [0.222, 0.443, 0.331], [0.556, 0.112, 0.332], [0.444, 0.888, 0.668], [0.889, 0.777, 0.334], [0.111, 0.223, 0.666], [0.000, 0.000, 0.000], [0.332, 0.664, 0.000], [0.668, 0.336, 0.000]]
}

***

# 4
{
  "formula": "Sr2NdCu2Se4",
  "functional": "GGA-PBE",
  "state": "optimized geometry",
  "e_form_raw_ev_per_atom": -1.263,
  "m_tot_mub_per_atom": 0.00,
  "e_tot_ev_per_atom": -4.63,
  "rho_g_cm3": 5.74,
  "lattice_angstrom": [[4.073, 0.000, 0.000], [0.000, 7.580, 0.144], [-2.037, -2.862, 7.085]],
  "species": ["Sr", "Sr", "Nd", "Cu", "Cu", "Se", "Se", "Se", "Se"],
  "fractional_positions": [[0.134, 0.574, 0.267], [0.866, 0.426, 0.733], [0.000, 0.000, 0.000], [0.688, 0.999, 0.375], [0.312, 0.001, 0.625], [0.207, 0.213, 0.415], [0.793, 0.787, 0.585], [0.529, 0.741, 0.058], [0.471, 0.259, 0.942]]
}

***

# 5
{
  "formula": "Li12CaIn6",
  "functional": "GGA-PBE",
  "state": "optimized geometry",
  "ef_ev_per_atom": -0.142,
  "m_tot_mub_per_atom": 0.00,
  "e_tot_ev_per_atom": -2.32,
  "rho_g_cm3": 3.28,
  "lattice_angstrom": [[7.670, 0.103, 0.145], [-1.801, 7.456, 0.145], [-1.801, -2.320, 7.087]],
  "species": ["Li", "Li", "Li", "Li", "Li", "Li", "Li", "Li", "Li", "Li", "Li", "Li", "Ca", "In", "In", "In", "In", "In", "In"],
  "fractional_positions": [[0.893, 0.107, 0.500], [0.902, 0.615, 0.615], [0.615, 0.615, 0.902], [0.385, 0.098, 0.385], [0.385, 0.385, 0.098], [0.098, 0.385, 0.385], [0.107, 0.500, 0.893], [0.500, 0.893, 0.107], [0.107, 0.893, 0.500], [0.893, 0.500, 0.107], [0.500, 0.107, 0.893], [0.615, 0.902, 0.615], [0.000, 0.000, 0.000], [0.685, 0.291, 0.291], [0.291, 0.291, 0.685], [0.291, 0.685, 0.291], [0.709, 0.709, 0.315], [0.315, 0.709, 0.709], [0.709, 0.315, 0.709]]
}

***

# 6
{
  "formula": "ScMo2Os",
  "functional": "GGA-PBE",
  "state": "optimized geometry",
  "ef_ev_per_atom": 0.008,
  "m_tot_mub_per_atom": 0.00,
  "e_tot_ev_per_atom": -9.80,
  "rho_g_cm3": 11.00,
  "lattice_angstrom": [[5.233, 0.000, 0.000], [-2.472, 4.612, 0.000], [0.472, 0.788, 2.672]],
  "species": ["Mo", "Mo", "Os", "Sc"],
  "fractional_positions": [[0.000, 0.000, 0.000], [0.500, 0.500, 0.000], [0.500, 0.000, 0.500], [0.000, 0.500, 0.500]]
}

***

# 7
{
  "formula": "Hg2PtW",
  "functional": "GGA-PBE",
  "state": "optimized geometry",
  "ef_ev_per_atom": 0.623,
  "m_tot_mub_per_atom": 0.00,
  "e_tot_ev_per_atom": -4.28,
  "rho_g_cm3": 17.64,
  "lattice_angstrom": [[-3.025, 0.720, 4.359], [-0.890, -4.629, -2.539], [1.968, -1.239, 1.570]],
  "species": ["Hg", "Hg", "Pt", "W"],
  "fractional_positions": [[0.000, 0.000, 0.000], [0.500, 0.500, 0.000], [0.500, 0.000, 0.500], [0.000, 0.500, 0.500]]
}

***

# 8
{
  "formula": "Ac4La7Th",
  "functional": "GGA-PBE",
  "state": "optimized geometry",
  "ef_ev_per_atom": 0.035,
  "m_tot_mub_per_atom": 0.00,
  "e_tot_ev_per_atom": -4.83,
  "rho_g_cm3": 7.48,
  "lattice_angstrom": [[1.514, 3.238, 1.310], [-3.289, 0.075, -1.916], [-18.753, -4.188, 32.024]],
  "species": ["Ac", "Ac", "Ac", "Ac", "La", "La", "La", "La", "La", "La", "La", "Th"],
  "fractional_positions": [[0.333, 0.667, 0.915], [0.667, 0.333, 0.085], [0.333, 0.667, 0.665], [0.667, 0.333, 0.335], [0.000, 0.000, 0.000], [0.333, 0.667, 0.424], [0.667, 0.333, 0.576], [0.333, 0.667, 0.170], [0.667, 0.333, 0.830], [0.000, 0.000, 0.749], [0.000, 0.000, 0.251], [0.000, 0.000, 0.500]]
}

***

Number 3 is which compound?
Tb4Pm2NdTm2

***

Which formula does entry 3 have?
Tb4Pm2NdTm2